Here is a relaxed LiThMgSc crystal from the Alexandria database. Energies are from GGA-PBE.

Cell: 5.206 5.206 5.206 Å, 60.00 60.00 60.00°
Fractional positions:
1 Li 0.000 0.000 0.000
2 Th 0.250 0.250 0.250
3 Mg 0.500 0.500 0.500
4 Sc 0.750 0.750 0.750

---

Here is a relaxed Dy12Er7Sc crystal from the Alexandria database. Energies are from GGA-PBE.

Cell: 11.273 11.273 11.273 Å, 116.87 116.87 116.87°
Fractional positions:
1 Dy 0.000 0.415 0.586
2 Dy 0.000 0.585 0.414
3 Dy 0.080 0.433 0.081
4 Dy 0.081 0.080 0.433
5 Dy 0.414 0.000 0.585
6 Dy 0.415 0.586 0.000
7 Dy 0.433 0.081 0.080
8 Dy 0.567 0.919 0.920
9 Dy 0.585 0.414 0.000
10 Dy 0.586 0.000 0.415
11 Dy 0.919 0.920 0.567
12 Dy 0.920 0.567 0.919
13 Er 0.000 0.000 0.000
14 Er 0.141 0.382 0.383
15 Er 0.382 0.383 0.141
16 Er 0.383 0.141 0.382
17 Er 0.617 0.859 0.618
18 Er 0.618 0.617 0.859
19 Er 0.859 0.618 0.617
20 Sc 0.500 0.500 0.500

---

Number 1: total DFT energy (no corrections) -0.1524 hartree per atom, energy relative to the elements 0.7 eV per formula unit. Number 2: total DFT energy (no corrections) -0.1627 hartree per atom, energy relative to the elements 4.9 eV per formula unit.